[1]
An optimized crystal structure of ZrCdAs2. Source: Alexandria, functional PBE.

Unit cell a=7.5064 b=7.5064 c=7.5064 alpha=131.36 beta=131.36 gamma=71.24
Closest atoms and distances in Å follow each position.
Element x y z (fractional)
Zr 0.0000 0.0000 0.0000  4 As 2.62
Zr 0.7500 0.2500 0.5000  4 As 2.62
Cd 0.2500 0.7500 0.5000  4 As 2.71
Cd 0.5000 0.5000 0.0000  4 As 2.71
As 0.1122 0.6250 0.9872  2 Zr 2.62, 2 Cd 2.71
As 0.3750 0.3622 0.4872  2 Zr 2.62, 2 Cd 2.71
As 0.6378 0.1250 0.0128  2 Zr 2.62, 2 Cd 2.71
As 0.8750 0.8878 0.5128  2 Zr 2.62, 2 Cd 2.71

Total moment   0.000 μB per cell
Formation energy from the elements   -322 meV per atom
Uncorrected energy   -40.10 eV per cell


[2]
An optimized crystal structure of ZrCd4As2. Source: Alexandria, functional PBE.

Unit cell a=8.0157 b=8.0157 c=8.0157 alpha=139.12 beta=139.12 gamma=59.19
Closest atoms and distances in Å follow each position.
Element x y z (fractional)
Zr 0.0000 0.0000 0.0000  6 Cd 2.80-2.95
Cd 0.0000 0.5000 0.5000  2 Zr 2.80, 4 As 3.07
Cd 0.2118 0.2118 0.0000  1 As 2.75, 1 Zr 2.95
Cd 0.5000 0.0000 0.5000  2 Zr 2.80, 4 As 3.07
Cd 0.7882 0.7882 0.0000  1 As 2.75, 1 Zr 2.95
As 0.4093 0.4093 0.0000  1 As 2.53, 1 Cd 2.75
As 0.5907 0.5907 0.0000  1 As 2.53, 1 Cd 2.75

Total moment   0.000 μB per cell
Formation energy from the elements   601 meV per atom
Uncorrected energy   -17.30 eV per cell


[3]
An optimized crystal structure of Zr2CdAs. Source: Alexandria, functional PBE.

Unit cell a=6.1829 b=6.1829 c=6.1829 alpha=103.97 beta=103.97 gamma=121.14
Closest atoms and distances in Å follow each position.
Element x y z (fractional)
Zr 0.1009 0.1250 0.4759  2 As 2.68, 2 Cd 2.93
Zr 0.3750 0.8991 0.0241  2 As 2.68, 2 Cd 2.93
Zr 0.6491 0.6250 0.5241  2 As 2.68, 2 Cd 2.93
Zr 0.8750 0.3509 0.9759  2 As 2.68, 2 Cd 2.93
Cd 0.2500 0.7500 0.5000  4 Zr 2.93, 2 As 3.04
Cd 0.5000 0.5000 0.0000  4 Zr 2.93, 2 As 3.04
As 0.0000 0.0000 0.0000  4 Zr 2.68
As 0.7500 0.2500 0.5000  4 Zr 2.68

Total moment   0.000 μB per cell
Energy above the most stable polymorph in this dataset   242.1 meV per atom
Formation energy from the elements   -289 meV per atom
Uncorrected energy   -47.63 eV per cell


[4]
An optimized crystal structure of ZrCdAs2. Source: Alexandria, functional PBE.

Unit cell a=3.9156 b=6.6034 c=6.6034 alpha=32.13 beta=90.00 gamma=90.00
Closest atoms and distances in Å follow each position.
Element x y z (fractional)
Zr 0.0000 0.0000 0.0000  6 As 2.75-2.80
Cd 0.5000 0.2241 0.2241  5 As 2.67-2.79
As 0.0000 0.6616 0.6616  2 Zr 2.75, 4 Cd 2.79
As 0.5000 0.4343 0.4343  1 Cd 2.67, 4 Zr 2.80

Total moment   0.000 μB per cell
Formation energy from the elements   -478 meV per atom
Uncorrected energy   -20.68 eV per cell


[5]
An optimized crystal structure of ZrCdAs2. Source: Alexandria, functional PBE.

Unit cell a=3.6291 b=3.6291 c=6.2340 alpha=90.00 beta=90.00 gamma=90.00
Closest atoms and distances in Å follow each position.
Element x y z (fractional)
Zr 0.0000 0.0000 0.0000  8 As 2.89, 2 Cd 3.12
Cd 0.0000 0.0000 0.5000  2 Zr 3.12, 8 As 3.13
As 0.5000 0.5000 0.2137  1 As 2.66, 4 Zr 2.89
As 0.5000 0.5000 0.7863  1 As 2.66, 4 Zr 2.89

Total moment   0.000 μB per cell
Formation energy from the elements   -480 meV per atom
Uncorrected energy   -20.68 eV per cell


[6]
An optimized crystal structure of Zr2CdAs. Source: Alexandria, functional PBE.

Unit cell a=4.8691 b=4.8691 c=4.8691 alpha=60.00 beta=60.00 gamma=60.00
Closest atoms and distances in Å follow each position.
Element x y z (fractional)
Zr 0.2500 0.2500 0.2500  4 Cd 2.98, 4 As 2.98
Zr 0.7500 0.7500 0.7500  4 Cd 2.98, 4 As 2.98
Cd 0.0000 0.0000 0.0000  8 Zr 2.98
As 0.5000 0.5000 0.5000  8 Zr 2.98

Total moment   0.000 μB per cell
Energy above the most stable polymorph in this dataset   252.0 meV per atom
Formation energy from the elements   -279 meV per atom
Uncorrected energy   -23.78 eV per cell


[7]
An optimized crystal structure of ZrCdAs2. Source: Alexandria, functional PBE.

Unit cell a=7.0730 b=7.0730 c=7.0730 alpha=32.36 beta=32.36 gamma=32.36
Closest atoms and distances in Å follow each position.
Element x y z (fractional)
Zr 0.0000 0.0000 0.0000  6 As 2.75-2.78
Cd 0.8325 0.8325 0.8325  6 As 2.87-2.92
As 0.4125 0.4125 0.4125  3 Zr 2.78, 3 Cd 2.87
As 0.5899 0.5899 0.5899  3 Zr 2.75, 3 Cd 2.92

Total moment   0.000 μB per cell
Formation energy from the elements   -438 meV per atom
Uncorrected energy   -20.51 eV per cell


[8]
An optimized crystal structure of ZrCd2As2. Source: Alexandria, functional PBE.

Unit cell a=5.6656 b=5.6656 c=5.6656 alpha=126.04 beta=126.04 gamma=79.83
Closest atoms and distances in Å follow each position.
Element x y z (fractional)
Zr 0.0000 0.0000 0.0000  2 Cd 3.03, 8 As 3.37
Cd 0.3487 0.3487 0.0000  1 Cd 2.63, 4 As 2.71
Cd 0.6513 0.6513 0.0000  1 Cd 2.63, 4 As 2.71
As 0.2500 0.7500 0.5000  4 Cd 2.71
As 0.7500 0.2500 0.5000  4 Cd 2.71

Total moment   0.000 μB per cell
Formation energy from the elements   252 meV per atom
Uncorrected energy   -18.42 eV per cell


[9]
An optimized crystal structure of Zr2CdAs. Source: Alexandria, functional PBE.

Unit cell a=7.7425 b=7.7425 c=7.7425 alpha=27.86 beta=27.86 gamma=27.86
Closest atoms and distances in Å follow each position.
Element x y z (fractional)
Zr 0.2367 0.2367 0.2367  3 As 2.66
Zr 0.7633 0.7633 0.7633  3 As 2.66
Cd 0.0000 0.0000 0.0000  6 Zr 3.05
As 0.5000 0.5000 0.5000  6 Zr 2.66

Total moment   0.000 μB per cell
Energy above the most stable polymorph in this dataset   0.0 meV per atom
Formation energy from the elements   -531 meV per atom
Uncorrected energy   -24.79 eV per cell


[10]
An optimized crystal structure of ZrCdAs4. Source: Alexandria, functional PBE.

Unit cell a=5.5733 b=5.5733 c=5.5733 alpha=60.00 beta=60.00 gamma=60.00
Closest atoms and distances in Å follow each position.
Element x y z (fractional)
Zr 0.0000 0.0000 0.0000  12 As 3.27, 4 Cd 3.41
Cd 0.2500 0.2500 0.2500  12 As 3.27, 4 Zr 3.41
As 0.1233 0.6256 0.6256  6 As 2.77-2.80
As 0.6256 0.1233 0.6256  6 As 2.77-2.80
As 0.6256 0.6256 0.1233  6 As 2.77-2.80
As 0.6256 0.6256 0.6256  6 As 2.77-2.80

Total moment   0.000 μB per cell
Formation energy from the elements   168 meV per atom
Uncorrected energy   -27.05 eV per cell


[11]
An optimized crystal structure of ZrCdAs2. Source: Alexandria, functional PBE.

Unit cell a=5.0345 b=5.0345 c=5.5725 alpha=100.17 beta=100.17 gamma=39.29
Closest atoms and distances in Å follow each position.
Element x y z (fractional)
Zr 0.0000 0.0000 0.0000  6 As 2.80-2.89
Cd 0.5000 0.5000 0.5000  6 As 3.10-3.30, 4 Zr 3.26, 2 Cd 3.38
As 0.2683 0.2683 0.8259  2 As 2.65, 3 Zr 2.80-2.89
As 0.7317 0.7317 0.1741  2 As 2.65, 3 Zr 2.80-2.89

Total moment   0.000 μB per cell
Formation energy from the elements   -246 meV per atom
Uncorrected energy   -19.75 eV per cell


[12]
An optimized crystal structure of Zr2CdAs. Source: Alexandria, functional PBE.

Unit cell a=3.8013 b=4.0467 c=5.7281 alpha=90.00 beta=109.28 gamma=90.00
Closest atoms and distances in Å follow each position.
Element x y z (fractional)
Zr 0.0000 0.0000 0.0000  4 As 2.86, 3 Cd 2.90-3.15
Zr 0.3092 0.5000 0.6170  1 As 2.77, 4 Cd 2.90
Cd 0.7333 0.0000 0.4646  2 As 2.72, 5 Zr 2.90
As 0.5634 0.5000 0.1291  2 Cd 2.72, 5 Zr 2.77-2.86

Total moment   0.000 μB per cell
Energy above the most stable polymorph in this dataset   71.2 meV per atom
Formation energy from the elements   -460 meV per atom
Uncorrected energy   -24.50 eV per cell


[13]
An optimized crystal structure of Zr2CdAs. Source: Alexandria, functional PBE.

Unit cell a=5.8150 b=5.8150 c=5.8150 alpha=144.45 beta=132.51 gamma=60.71
Closest atoms and distances in Å follow each position.
Element x y z (fractional)
Zr 0.0000 0.0000 0.0000  2 As 2.81, 4 Cd 2.97
Zr 0.7321 0.2321 0.5000  4 As 2.94, 2 Zr 3.22, 4 Cd 3.25-3.28
Cd 0.4568 0.4568 0.0000  8 Zr 2.97-3.28, 2 As 2.99
As 0.2170 0.7170 0.5000  6 Zr 2.81-2.94, 2 Cd 2.99

Total moment   0.000 μB per cell
Energy above the most stable polymorph in this dataset   198.2 meV per atom
Formation energy from the elements   -333 meV per atom
Uncorrected energy   -23.99 eV per cell


[14]
An optimized crystal structure of ZrCdAs2. Source: Alexandria, functional PBE.

Unit cell a=3.1317 b=3.1317 c=9.4221 alpha=90.00 beta=90.00 gamma=103.19
Closest atoms and distances in Å follow each position.
Element x y z (fractional)
Zr 0.0000 0.0000 0.0000  4 As 2.75
Cd 0.0000 0.0000 0.5000  4 Cd 3.13, 4 As 3.39
As 0.5000 0.5000 0.2059  2 Zr 2.75
As 0.5000 0.5000 0.7941  2 Zr 2.75

Total moment   0.000 μB per cell
Formation energy from the elements   -307 meV per atom
Uncorrected energy   -19.99 eV per cell